# VZnCr3 (PBE, optimized geometry)
data_VZnCr3
_chemical_formula_sum 'V1 Zn1 Cr3'
_symmetry_space_group_name_H-M 'P m -3 m'
_symmetry_Int_Tables_number 221
_symmetry_space_group_name_Hall '-P 4 2 3'
_cell_length_a 4.606
_cell_length_b 4.606
_cell_length_c 4.606
_cell_angle_alpha 90.00
_cell_angle_beta 90.00
_cell_angle_gamma 90.00
loop_
_atom_site_label
_atom_site_fract_x
_atom_site_fract_y
_atom_site_fract_z
V1 0.000 0.000 0.000
Zn1 0.500 0.500 0.500
Cr1 0.000 0.500 0.500
# Total DFT energy (no corrections)   -31.9 eV/cell
# Size of the total moment   8.593 Bohr magnetons per cell
# Distance to the lowest polymorph of the same formula   0.187 eV per atom
# DFT formation energy   1.47 eV per atom
# Fermi-level density of states   8.4 states/eV/f.u.



# NaPb3 (PBE, optimized geometry)
data_NaPb3
_chemical_formula_sum 'Na1 Pb3'
_symmetry_space_group_name_H-M 'P m m 2'
_symmetry_Int_Tables_number 25
_symmetry_space_group_name_Hall 'P 2 -2'
_cell_length_a 3.520
_cell_length_b 5.652
_cell_length_c 6.106
_cell_angle_alpha 90.00
_cell_angle_beta 90.00
_cell_angle_gamma 90.00
loop_
_atom_site_label
_atom_site_fract_x
_atom_site_fract_y
_atom_site_fract_z
Na1 0.000 0.000 0.000
Pb1 0.000 0.500 0.678
Pb2 0.500 0.000 0.490
Pb3 0.500 0.500 0.181
# Total DFT energy (no corrections)   -12.8 eV/cell
# Size of the total moment   0.000 Bohr magnetons per cell
# DFT formation energy   -0.08 eV per atom
# Fermi-level density of states   1.8 states/eV/f.u.



# CaSi2Ni2 (PBE, optimized geometry)
data_CaSi2Ni2
_chemical_formula_sum 'Ca2 Si4 Ni4'
_symmetry_space_group_name_H-M 'C 1 2/m 1'
_symmetry_Int_Tables_number 12
_symmetry_space_group_name_Hall '-C 2y'
_cell_length_a 5.655
_cell_length_b 5.651
_cell_length_c 5.590
_cell_angle_alpha 90.00
_cell_angle_beta 120.16
_cell_angle_gamma 90.00
loop_
_atom_site_label
_atom_site_fract_x
_atom_site_fract_y
_atom_site_fract_z
Ca1 0.000 0.000 0.000
Si1 0.130 0.500 0.260
Ni1 0.000 0.249 0.500
# Total DFT energy (no corrections)   -55.3 eV/cell
# Size of the total moment   0.000 Bohr magnetons per cell
# E_form (uncorrected)   -646 meV/atom
# Fermi-level density of states   3.7 states/eV/f.u.



# NaAsPd3 (PBE, optimized geometry)
data_NaAsPd3
_chemical_formula_sum 'Na1 As1 Pd3'
_symmetry_space_group_name_H-M 'P m -3 m'
_symmetry_Int_Tables_number 221
_symmetry_space_group_name_Hall '-P 4 2 3'
_cell_length_a 4.621
_cell_length_b 4.621
_cell_length_c 4.621
_cell_angle_alpha 90.00
_cell_angle_beta 90.00
_cell_angle_gamma 90.00
loop_
_atom_site_label
_atom_site_fract_x
_atom_site_fract_y
_atom_site_fract_z
Na1 0.000 0.000 0.000
As1 0.500 0.500 0.500
Pd1 0.000 0.000 0.500
# Total DFT energy (no corrections)   -16.7 eV/cell
# Size of the total moment   0.000 Bohr magnetons per cell
# Distance to the lowest polymorph of the same formula   1.262 eV per atom
# DFT formation energy   0.97 eV per atom
# Fermi-level density of states   9.8 states/eV/f.u.



# Ba6Te2Se3I (PBE, optimized geometry)
data_Ba6Te2Se3I
_chemical_formula_sum 'Ba12 Te4 Se6 I2'
_symmetry_space_group_name_H-M 'C 1 2/m 1'
_symmetry_Int_Tables_number 12
_symmetry_space_group_name_Hall '-C 2y'
_cell_length_a 21.211
_cell_length_b 4.835
_cell_length_c 9.758
_cell_angle_alpha 90.00
_cell_angle_beta 104.07
_cell_angle_gamma 90.00
loop_
_atom_site_label
_atom_site_fract_x
_atom_site_fract_y
_atom_site_fract_z
Ba1 0.004 0.000 0.229
Ba2 0.165 0.500 0.090
Ba3 0.175 0.500 0.577
Te1 0.164 0.000 0.828
Se1 0.000 0.500 0.000
Se2 0.165 0.000 0.334
I1 0.000 0.500 0.500
# Total DFT energy (no corrections)   -104.2 eV/cell
# Size of the total moment   0.000 Bohr magnetons per cell
# E_form (uncorrected)   -1855 meV/atom
# Fermi-level density of states   3.4 states/eV/f.u.



# Zr2IrRh (PBE, optimized geometry)
data_Zr2IrRh
_chemical_formula_sum 'Zr2 Ir1 Rh1'
_symmetry_space_group_name_H-M 'P 4/m m m'
_symmetry_Int_Tables_number 123
_symmetry_space_group_name_Hall '-P 4 2'
_cell_length_a 4.670
_cell_length_b 4.670
_cell_length_c 3.316
_cell_angle_alpha 90.00
_cell_angle_beta 90.00
_cell_angle_gamma 90.00
loop_
_atom_site_label
_atom_site_fract_x
_atom_site_fract_y
_atom_site_fract_z
Zr1 0.000 0.500 0.000
Ir1 0.000 0.000 0.500
Rh1 0.500 0.500 0.500
# Total DFT energy (no corrections)   -36.4 eV/cell
# Size of the total moment   0.000 Bohr magnetons per cell
# DFT formation energy   -0.78 eV per atom
# Fermi-level density of states   3.1 states/eV/f.u.



# KLa2Hg (PBE, optimized geometry)
data_KLa2Hg
_chemical_formula_sum 'K2 La4 Hg2'
_symmetry_space_group_name_H-M 'C m m m'
_symmetry_Int_Tables_number 65
_symmetry_space_group_name_Hall '-C 2 2'
_cell_length_a 7.116
_cell_length_b 10.404
_cell_length_c 3.745
_cell_angle_alpha 90.00
_cell_angle_beta 90.00
_cell_angle_gamma 90.00
loop_
_atom_site_label
_atom_site_fract_x
_atom_site_fract_y
_atom_site_fract_z
K1 0.000 0.000 0.000
La1 0.250 0.250 0.500
Hg1 0.000 0.500 0.000
# Total DFT energy (no corrections)   -20.8 eV/cell
# Size of the total moment   0.003 Bohr magnetons per cell
# DFT formation energy   0.21 eV per atom
# Fermi-level density of states   4.9 states/eV/f.u.



# Sr2BeFe (PBE, optimized geometry)
data_Sr2BeFe
_chemical_formula_sum 'Sr2 Be1 Fe1'
_symmetry_space_group_name_H-M 'P 4/m m m'
_symmetry_Int_Tables_number 123
_symmetry_space_group_name_Hall '-P 4 2'
_cell_length_a 3.685
_cell_length_b 3.685
_cell_length_c 7.826
_cell_angle_alpha 90.00
_cell_angle_beta 90.00
_cell_angle_gamma 90.00
loop_
_atom_site_label
_atom_site_fract_x
_atom_site_fract_y
_atom_site_fract_z
Sr1 0.000 0.000 0.244
Be1 0.500 0.500 0.000
Fe1 0.500 0.500 0.500
# Total DFT energy (no corrections)   -12.7 eV/cell
# Size of the total moment   2.523 Bohr magnetons per cell
# DFT formation energy   0.71 eV per atom
# Fermi-level density of states   5.6 states/eV/f.u.